First-principles (PBE) data for crystalline BaHgSe2 at its relaxed geometry, as listed in Alexandria. Values from VASP.

## Properties
Fermi-level density of states: 0.00 states/eV per atom
total energy: -27.19 eV for the cell shown
raw formation energy: -106.1 kJ/mol of atoms

Geometry as Quantum ESPRESSO input:
```
&SYSTEM
  ibrav = 0, nat = 8, ntyp = 3
/
ATOMIC_SPECIES
Ba 137.33 Ba.upf
Hg 200.59 Hg.upf
Se 78.96 Se.upf
ATOMIC_POSITIONS angstrom
Ba 0.0000 0.0000 0.0000
Ba 1.9556 0.0000 4.4797
Hg 5.8462 0.0000 4.4492
Hg 11.9600 0.0000 1.6947
Se 5.6374 0.0000 1.6794
Se 7.9818 0.0000 5.9862
Se 9.4123 0.0000 2.0518
Se 12.2577 0.0000 5.3122
CELL_PARAMETERS angstrom
7.9473 -2.1893 0.0000
7.9473 2.1893 0.0000
-1.5010 0.0000 7.8761
```

---

First-principles (PBE) data for crystalline Tc2HgPt at its relaxed geometry, as listed in Alexandria. Values from VASP.

## Properties
Fermi-level density of states: 0.34 states/eV per atom
total energy: -26.68 eV for the cell shown
energy of formation from the pure elements: 98 meV/atom

Geometry as Quantum ESPRESSO input:
```
&SYSTEM
  ibrav = 0, nat = 4, ntyp = 3
/
ATOMIC_SPECIES
Tc 98.00 Tc.upf
Hg 200.59 Hg.upf
Pt 195.08 Pt.upf
ATOMIC_POSITIONS angstrom
Tc 0.0000 0.0000 0.0000
Tc 0.0000 0.0000 7.4089
Hg 0.0000 0.0000 21.4487
Pt 0.0000 0.0000 14.5564
CELL_PARAMETERS angstrom
1.4116 0.8150 9.4449
-1.4116 0.8150 9.4449
0.0000 -1.6300 9.4449
```

---

First-principles (PBE) data for crystalline CdAsP2F at its relaxed geometry, as listed in Alexandria. Values from VASP.

## Properties
Fermi-level density of states: 0.30 states/eV per atom
total energy: -15.90 eV for the cell shown
raw formation energy: 45.4 kJ/mol of atoms

Geometry as Quantum ESPRESSO input:
```
&SYSTEM
  ibrav = 0, nat = 5, ntyp = 4
/
ATOMIC_SPECIES
Cd 112.41 Cd.upf
As 74.92 As.upf
P 30.97 P.upf
F 19.00 F.upf
ATOMIC_POSITIONS angstrom
Cd 0.0000 0.0000 0.0000
As 2.2586 2.2586 0.0000
P 0.0000 2.2586 2.2935
P 2.2586 0.0000 2.2935
F 0.0000 0.0000 2.2935
CELL_PARAMETERS angstrom
4.5172 0.0000 0.0000
0.0000 4.5172 0.0000
0.0000 0.0000 4.5870
```

---

First-principles (PBE) data for crystalline CsAs2WSe at its relaxed geometry, as listed in Alexandria. Values from VASP.

## Properties
Fermi-level density of states: 1.56 states/eV per atom
total energy: -12.43 eV for the cell shown
raw formation energy: 273.3 kJ/mol of atoms

Geometry as Quantum ESPRESSO input:
```
&SYSTEM
  ibrav = 0, nat = 5, ntyp = 4
/
ATOMIC_SPECIES
Cs 132.91 Cs.upf
As 74.92 As.upf
W 183.84 W.upf
Se 78.96 Se.upf
ATOMIC_POSITIONS angstrom
Cs 0.0000 0.0000 0.0000
As 0.0000 2.7681 0.0000
As 2.7681 0.0000 0.0000
W 2.7681 2.7681 2.6442
Se 0.0000 0.0000 2.6442
CELL_PARAMETERS angstrom
5.5362 0.0000 0.0000
0.0000 5.5362 0.0000
0.0000 0.0000 5.2884
```

---

First-principles (PBE) data for crystalline Ac6CdRu2 at its relaxed geometry, as listed in Alexandria. Values from VASP.

## Properties
Fermi-level density of states: 0.88 states/eV per atom
total energy: -91.61 eV for the cell shown
energy of formation from the pure elements: -188 meV/atom

Geometry as Quantum ESPRESSO input:
```
&SYSTEM
  ibrav = 0, nat = 18, ntyp = 3
/
ATOMIC_SPECIES
Ac 227.00 Ac.upf
Cd 112.41 Cd.upf
Ru 101.07 Ru.upf
ATOMIC_POSITIONS angstrom
Ac 5.0516 3.1741 -3.0809
Ac 2.9872 1.8718 0.0000
Ac 7.1160 1.8718 0.0000
Ac 1.8715 5.3069 -1.8971
Ac 3.1801 0.0000 3.7627
Ac 0.0000 2.1328 2.5789
Ac 5.0516 3.1741 3.0809
Ac 1.8715 5.3069 1.8971
Ac 3.1801 0.0000 7.5569
Ac -2.0644 3.4351 5.6598
Ac 2.0644 3.4351 5.6598
Ac 0.0000 2.1328 8.7407
Cd 0.0000 0.0000 0.0000
Cd 0.0000 0.0000 5.6598
Ru 5.0516 0.0000 1.5063
Ru 0.0000 3.4342 0.0000
Ru 0.0000 7.1795 0.0000
Ru 0.0000 5.3069 4.1535
CELL_PARAMETERS angstrom
-5.0516 5.3069 5.6598
5.0516 -5.3069 5.6598
5.0516 5.3069 -5.6598
```

---

First-principles (PBE) data for crystalline I at its relaxed geometry, as listed in Alexandria. Values from VASP.

## Properties
total energy: -24.28 eV for the cell shown
raw formation energy: 3.1 kJ/mol of atoms

Geometry as Quantum ESPRESSO input:
```
&SYSTEM
  ibrav = 0, nat = 16, ntyp = 1
/
ATOMIC_SPECIES
I 126.90 I.upf
ATOMIC_POSITIONS angstrom
I 0.1623 9.7920 0.0000
I 1.5609 6.1221 3.0258
I 2.7626 3.0818 0.0000
I 3.0323 0.1623 0.0000
I 3.0818 10.0617 0.0000
I 4.1909 7.1530 3.0258
I 5.6713 4.1909 3.0258
I 6.1221 11.2634 3.0258
I 6.7022 1.5609 3.0258
I 7.1530 8.6334 3.0258
I 8.6334 5.6713 3.0258
I 9.7425 2.7626 0.0000
I 9.7920 12.6621 0.0000
I 10.0617 9.7425 0.0000
I 11.2634 6.7022 3.0258
I 12.6621 3.0323 0.0000
CELL_PARAMETERS angstrom
12.8243 0.0000 0.0000
0.0000 12.8243 0.0000
0.0000 0.0000 6.0516
```

---

First-principles (PBE) data for crystalline YTm2V at its relaxed geometry, as listed in Alexandria. Values from VASP.

## Properties
Fermi-level density of states: 1.60 states/eV per atom
total energy: -22.10 eV for the cell shown
energy of formation from the pure elements: 606 meV/atom

Geometry as Quantum ESPRESSO input:
```
&SYSTEM
  ibrav = 0, nat = 4, ntyp = 3
/
ATOMIC_SPECIES
Y 88.91 Y.upf
Tm 168.93 Tm.upf
V 50.94 V.upf
ATOMIC_POSITIONS angstrom
Y 0.0000 0.0000 0.0000
Tm 0.0000 0.0000 14.2167
Tm 0.0000 0.0000 19.7878
V 0.0000 0.0000 17.0023
CELL_PARAMETERS angstrom
1.6755 0.9674 11.3349
-1.6755 0.9674 11.3349
0.0000 -1.9348 11.3349
```

---

First-principles (PBE) data for crystalline Sr2ZrInCo at its relaxed geometry, as listed in Alexandria. Values from VASP.

## Properties
Fermi-level density of states: 1.07 states/eV per atom
total energy: -20.62 eV for the cell shown
energy of formation from the pure elements: 227 meV/atom

Geometry as Quantum ESPRESSO input:
```
&SYSTEM
  ibrav = 0, nat = 5, ntyp = 4
/
ATOMIC_SPECIES
Sr 87.62 Sr.upf
Zr 91.22 Zr.upf
In 114.82 In.upf
Co 58.93 Co.upf
ATOMIC_POSITIONS angstrom
Sr 0.0000 2.9163 0.0000
Sr 2.9163 0.0000 0.0000
Zr 0.0000 0.0000 2.3350
In 2.9163 2.9163 2.3350
Co 0.0000 0.0000 0.0000
CELL_PARAMETERS angstrom
5.8325 0.0000 0.0000
0.0000 5.8325 0.0000
0.0000 0.0000 4.6699
```

---

First-principles (PBE) data for crystalline PmCd2Hg at its relaxed geometry, as listed in Alexandria. Values from VASP.

## Properties
Fermi-level density of states: 0.78 states/eV per atom
total energy: -8.09 eV for the cell shown
energy of formation from the pure elements: -301 meV/atom

Geometry as Quantum ESPRESSO input:
```
&SYSTEM
  ibrav = 0, nat = 4, ntyp = 3
/
ATOMIC_SPECIES
Pm 145.00 Pm.upf
Cd 112.41 Cd.upf
Hg 200.59 Hg.upf
ATOMIC_POSITIONS angstrom
Pm 0.0000 0.0000 0.0000
Cd 0.0000 2.2686 2.4667
Cd 2.2686 0.0000 2.4667
Hg 2.2686 2.2686 0.0000
CELL_PARAMETERS angstrom
4.5372 0.0000 0.0000
0.0000 4.5372 0.0000
0.0000 0.0000 4.9335
```

---

First-principles (PBE) data for crystalline Dy8HoEr4 at its relaxed geometry, as listed in Alexandria. Values from VASP.

## Properties
Fermi-level density of states: 1.14 states/eV per atom
total energy: -56.78 eV for the cell shown
energy of formation from the pure elements: 220 meV/atom

Geometry as Quantum ESPRESSO input:
```
&SYSTEM
  ibrav = 0, nat = 13, ntyp = 3
/
ATOMIC_SPECIES
Dy 162.50 Dy.upf
Ho 164.93 Ho.upf
Er 167.26 Er.upf
ATOMIC_POSITIONS angstrom
Dy -1.9838 -1.1453 15.4861
Dy 0.0000 0.0000 5.8760
Dy 0.0000 -2.2907 11.8266
Dy -1.9838 1.1453 11.8266
Dy 1.9838 -1.1453 15.4861
Dy 0.0000 2.2907 15.4861
Dy 0.0000 0.0000 21.4367
Dy 1.9838 1.1453 11.8265
Ho 0.0000 0.0000 13.6563
Er 0.0000 0.0000 0.0000
Er -1.7998 -1.0391 9.1042
Er -1.7998 1.0391 18.2084
Er 0.0000 2.0782 9.1042
CELL_PARAMETERS angstrom
3.5996 2.0782 9.1042
-3.5996 2.0782 9.1042
0.0000 -4.1564 9.1042
```

---

First-principles (PBE) data for crystalline P3C at its relaxed geometry, as listed in Alexandria. Values from VASP.

## Properties
Fermi-level density of states: 0.17 states/eV per atom
total energy: -23.48 eV for the cell shown
energy of formation from the pure elements: 493 meV/atom

Geometry as Quantum ESPRESSO input:
```
&SYSTEM
  ibrav = 0, nat = 4, ntyp = 2
/
ATOMIC_SPECIES
P 30.97 P.upf
C 12.01 C.upf
ATOMIC_POSITIONS angstrom
P 0.0000 0.0000 0.0000
P -1.3384 1.5346 3.2090
P 2.2884 1.5346 1.4035
C 1.3613 0.0000 1.2060
CELL_PARAMETERS angstrom
4.9013 0.0000 0.0000
0.0000 3.0692 0.0000
-2.2485 0.0000 4.5506
```

---

First-principles (PBE) data for crystalline Li3InPd4 at its relaxed geometry, as listed in Alexandria. Values from VASP.

## Properties
Fermi-level density of states: 0.32 states/eV per atom
total energy: -32.13 eV for the cell shown
energy of formation from the pure elements: -360 meV/atom

Geometry as Quantum ESPRESSO input:
```
&SYSTEM
  ibrav = 0, nat = 8, ntyp = 3
/
ATOMIC_SPECIES
Li 6.94 Li.upf
In 114.82 In.upf
Pd 106.42 Pd.upf
ATOMIC_POSITIONS angstrom
Li 0.0000 0.0000 0.0000
Li 2.6853 2.3769 1.2671
Li 0.0000 2.1793 3.7669
In 0.0000 4.5562 2.4834
Pd 2.6853 2.3560 -1.2428
Pd 1.3446 4.5562 -0.0340
Pd 0.0000 2.2002 1.2571
Pd 1.3407 0.0000 2.4658
CELL_PARAMETERS angstrom
-2.6853 4.5562 2.4998
2.6853 -4.5562 2.4998
2.6853 4.5562 -2.4998
```

---

First-principles (PBE) data for crystalline Ho2Er6Th3 at its relaxed geometry, as listed in Alexandria. Values from VASP.

## Properties
Fermi-level density of states: 1.46 states/eV per atom
total energy: -56.96 eV for the cell shown
energy of formation from the pure elements: 166 meV/atom

Geometry as Quantum ESPRESSO input:
```
&SYSTEM
  ibrav = 0, nat = 11, ntyp = 3
/
ATOMIC_SPECIES
Ho 164.93 Ho.upf
Er 167.26 Er.upf
Th 232.04 Th.upf
ATOMIC_POSITIONS angstrom
Ho 3.0664 3.5460 0.0000
Ho 3.0664 -3.5460 0.0000
Er 1.0246 0.0000 2.8043
Er 2.0422 1.7584 8.3461
Er 4.0712 1.7584 2.7992
Er 2.0422 -1.7584 8.3461
Er 4.0712 -1.7584 2.7992
Er 5.0887 0.0000 8.3411
Th 3.0567 3.5430 5.5727
Th 3.0567 0.0000 5.5727
Th 3.0567 -3.5430 5.5727
CELL_PARAMETERS angstrom
3.0664 -5.3155 0.0000
3.0664 5.3155 0.0000
-0.0195 0.0000 11.1453
```

---

First-principles (PBE) data for crystalline CeTaO4F at its relaxed geometry, as listed in Alexandria. Values from VASP.

## Properties
Fermi-level density of states: 0.00 states/eV per atom
total energy: -122.61 eV for the cell shown
raw formation energy: -300.7 kJ/mol of atoms

Geometry as Quantum ESPRESSO input:
```
&SYSTEM
  ibrav = 0, nat = 14, ntyp = 4
/
ATOMIC_SPECIES
Ce 140.12 Ce.upf
Ta 180.95 Ta.upf
O 16.00 O.upf
F 19.00 F.upf
ATOMIC_POSITIONS angstrom
Ce 1.7811 0.0000 0.8466
Ce 5.6266 0.0000 5.9480
Ta 1.6976 0.0000 4.8886
Ta 5.7101 0.0000 1.9060
O 0.8524 1.4430 5.7240
O 1.4586 0.0000 3.0473
O 3.9061 0.0000 1.4684
O 0.8524 -1.4430 5.7240
O 6.5553 1.4430 1.0706
O 3.5016 0.0000 5.3262
O 5.9492 0.0000 3.7474
O 6.5553 -1.4430 1.0706
F -1.8070 0.0000 5.6823
F 9.2148 0.0000 1.1123
CELL_PARAMETERS angstrom
4.9009 -3.6997 0.0000
4.9009 3.6997 0.0000
-2.3939 0.0000 6.7946
```

---

First-principles (PBE) data for crystalline AcCuTe at its relaxed geometry, as listed in Alexandria. Values from VASP.

## Properties
Fermi-level density of states: 0.04 states/eV per atom
total energy: -13.62 eV for the cell shown
raw formation energy: -73.1 kJ/mol of atoms

Geometry as Quantum ESPRESSO input:
```
&SYSTEM
  ibrav = 0, nat = 3, ntyp = 3
/
ATOMIC_SPECIES
Ac 227.00 Ac.upf
Cu 63.55 Cu.upf
Te 127.60 Te.upf
ATOMIC_POSITIONS angstrom
Ac 0.0000 0.0000 0.0000
Cu 0.0000 2.5907 3.2469
Te 2.2437 1.2954 2.3286
CELL_PARAMETERS angstrom
4.4873 0.0000 0.0000
-2.2436 3.8861 0.0000
0.0000 0.0000 4.8425
```

---

First-principles (PBE) data for crystalline BaTi2Pt at its relaxed geometry, as listed in Alexandria. Values from VASP.

## Properties
Fermi-level density of states: 1.30 states/eV per atom
total energy: -22.80 eV for the cell shown
energy of formation from the pure elements: 239 meV/atom

Geometry as Quantum ESPRESSO input:
```
&SYSTEM
  ibrav = 0, nat = 4, ntyp = 3
/
ATOMIC_SPECIES
Ba 137.33 Ba.upf
Ti 47.87 Ti.upf
Pt 195.08 Pt.upf
ATOMIC_POSITIONS angstrom
Ba 0.0000 0.0000 0.0000
Ti 1.6995 1.6995 1.6995
Ti 5.0984 5.0984 5.0984
Pt 3.3989 3.3989 3.3989
CELL_PARAMETERS angstrom
0.0000 3.3989 3.3989
3.3989 0.0000 3.3989
3.3989 3.3989 0.0000
```

---

First-principles (PBE) data for crystalline Er4AlPt at its relaxed geometry, as listed in Alexandria. Values from VASP.

## Properties
Fermi-level density of states: 0.81 states/eV per atom
total energy: -127.88 eV for the cell shown
energy of formation from the pure elements: -656 meV/atom

Geometry as Quantum ESPRESSO input:
```
&SYSTEM
  ibrav = 0, nat = 24, ntyp = 3
/
ATOMIC_SPECIES
Er 167.26 Er.upf
Al 26.98 Al.upf
Pt 195.08 Pt.upf
ATOMIC_POSITIONS angstrom
Er 6.7251 6.7251 2.4981
Er 6.7251 2.4981 6.7251
Er 10.9521 6.7251 6.7251
Er 5.3181 5.3181 5.3181
Er 8.1321 8.1321 5.3181
Er 8.1321 5.3181 8.1321
Er 10.0877 10.0877 7.5027
Er 10.0877 7.5027 10.0877
Er 12.6726 10.0877 10.0877
Er 2.4981 6.7251 6.7251
Er 6.7251 10.9521 6.7251
Er 5.3181 8.1321 8.1321
Er 6.7251 6.7251 10.9521
Er 7.5027 10.0877 10.0877
Er 10.0877 12.6726 10.0877
Er 10.0877 10.0877 12.6726
Al 2.3131 2.3131 2.3131
Al 4.4120 4.4120 2.3131
Al 4.4120 2.3131 4.4120
Al 2.3131 4.4120 4.4120
Pt 8.1549 5.2953 5.2953
Pt 5.2953 8.1549 5.2953
Pt 5.2953 5.2953 8.1549
Pt 8.1549 8.1549 8.1549
CELL_PARAMETERS angstrom
0.0000 6.7251 6.7251
6.7251 0.0000 6.7251
6.7251 6.7251 0.0000
```

---

First-principles (PBE) data for crystalline Pu3ScCu8 at its relaxed geometry, as listed in Alexandria. Values from VASP.

## Properties
Fermi-level density of states: 2.16 states/eV per atom
total energy: -83.05 eV for the cell shown
energy of formation from the pure elements: -80 meV/atom

Geometry as Quantum ESPRESSO input:
```
&SYSTEM
  ibrav = 0, nat = 12, ntyp = 3
/
ATOMIC_SPECIES
Pu 244.00 Pu.upf
Sc 44.96 Sc.upf
Cu 63.55 Cu.upf
ATOMIC_POSITIONS angstrom
Pu 0.0000 0.0000 0.0000
Pu 0.0000 0.0000 3.2499
Pu 0.0000 2.9965 7.5003
Sc 0.0000 2.9965 4.2432
Cu 3.8911 2.2465 1.7014
Cu 1.3060 0.7540 5.8186
Cu 2.5951 0.0018 1.7014
Cu 1.2990 2.2465 1.7014
Cu 2.5951 1.4983 3.7716
Cu 2.5951 1.4983 8.0028
Cu 3.8841 0.7540 5.8186
Cu 2.5951 2.9867 5.8186
CELL_PARAMETERS angstrom
5.1901 0.0000 0.0000
-2.5951 4.4948 0.0000
0.0000 0.0000 8.4369
```

---

First-principles (PBE) data for crystalline CuGeAs3 at its relaxed geometry, as listed in Alexandria. Values from VASP.

## Properties
Fermi-level density of states: 0.92 states/eV per atom
total energy: -17.44 eV for the cell shown
energy of formation from the pure elements: 1045 meV/atom

Geometry as Quantum ESPRESSO input:
```
&SYSTEM
  ibrav = 0, nat = 5, ntyp = 3
/
ATOMIC_SPECIES
Cu 63.55 Cu.upf
Ge 72.64 Ge.upf
As 74.92 As.upf
ATOMIC_POSITIONS angstrom
Cu 0.0000 0.0000 0.0000
Ge 2.4574 2.4574 2.4574
As 0.0000 2.4574 2.4574
As 2.4574 0.0000 2.4574
As 2.4574 2.4574 0.0000
CELL_PARAMETERS angstrom
4.9147 0.0000 0.0000
0.0000 4.9147 0.0000
0.0000 0.0000 4.9147
```

---

First-principles (PBE) data for crystalline CrRe2Se at its relaxed geometry, as listed in Alexandria. Values from VASP.

## Properties
Fermi-level density of states: 0.89 states/eV per atom
total energy: -35.63 eV for the cell shown
raw formation energy: 57.2 kJ/mol of atoms

Geometry as Quantum ESPRESSO input:
```
&SYSTEM
  ibrav = 0, nat = 4, ntyp = 3
/
ATOMIC_SPECIES
Cr 52.00 Cr.upf
Re 186.21 Re.upf
Se 78.96 Se.upf
ATOMIC_POSITIONS angstrom
Cr 0.0000 0.0000 0.0000
Re 1.4859 0.0000 2.0071
Re 1.4859 0.0000 7.0440
Se 0.0000 0.0000 4.5255
CELL_PARAMETERS angstrom
1.4859 -2.2719 0.0000
1.4859 2.2719 0.0000
0.0000 0.0000 9.0511
```